(1)
A geometry-optimized Ca3HoF8 structure. Source: the Alexandria database, functional PBE.

abc: 5.540 5.540 5.540
angles: 90.00 90.00 90.00
Positions (direct):
Ca: 0.500 0.500 0.000
Ca: 0.500 0.000 0.500
Ca: 0.000 0.500 0.500
Ho: 0.000 0.000 0.000
F: 0.248 0.248 0.752
F: 0.248 0.752 0.248
F: 0.752 0.248 0.248
F: 0.752 0.752 0.752
F: 0.752 0.752 0.248
F: 0.752 0.248 0.752
F: 0.248 0.752 0.752
F: 0.248 0.248 0.248

Results
- SG: No. 221
- Raw formation energy: -3.752 eV/atom
- Electronic total energy: -5.882 eV per atom

***

(2)
A geometry-optimized CaHoF6 structure. Source: the Alexandria database, functional PBE.

abc: 5.436 5.436 7.914
angles: 90.00 90.00 90.00
Positions (direct):
Ca: 0.000 0.000 0.500
Ca: 0.000 0.000 0.000
Ho: 0.500 0.500 0.750
Ho: 0.500 0.500 0.250
F: 0.214 0.239 0.323
F: 0.786 0.761 0.323
F: 0.761 0.214 0.823
F: 0.239 0.786 0.823
F: 0.786 0.761 0.677
F: 0.214 0.239 0.677
F: 0.239 0.786 0.177
F: 0.761 0.214 0.177
F: 0.332 0.680 0.500
F: 0.668 0.320 0.500
F: 0.320 0.332 0.000
F: 0.680 0.668 0.000

Results
- SG: No. 84
- Raw formation energy: -3.458 eV/atom
- Electronic total energy: -5.684 eV per atom

***

electronic total energy of number 2 (CaHoF6)?
-5.684 eV per atom

***

The highest electronic total energy belongs to which entry?
CaHoF6

***

What is the raw formation energy in the second record?
-3.458 eV/atom

***

Which of these has the highest electronic total energy?
CaHoF6